1.
CaPm12Sm2: optimized geometry, GGA-PBE.

DOS(E_F), states/eV/cell: 35.418
Energy relative to the elements, eV/atom: 0.31
DFT total energy, eV/cell: -127.5

abc: 6.6081 6.6081 25.6690
angles: 90.00 90.00 90.00
Last column: nearest neighbours and their distance in Å.
Atoms (fractional coordinates):
Ca: 0.2500 0.7500 0.0000  8 Pm 3.83-3.88
Ca: 0.7500 0.2500 0.0000  8 Pm 3.83-3.88
Pm: 0.0040 0.5040 0.1195  6 Pm 3.30-3.43
Pm: 0.0040 0.9960 0.8805  6 Pm 3.30-3.43
Pm: 0.0826 0.5826 0.4393  6 Pm 3.13-3.48
Pm: 0.0826 0.9174 0.5607  6 Pm 3.13-3.48
Pm: 0.2500 0.2500 0.2171  5 Pm 3.08-3.43, 4 Sm 3.44
Pm: 0.2500 0.2500 0.3371  1 Pm 3.08
Pm: 0.2500 0.2500 0.6629  1 Pm 3.08
Pm: 0.2500 0.2500 0.7829  5 Pm 3.08-3.43, 4 Sm 3.44
Pm: 0.4174 0.5826 0.5607  6 Pm 3.13-3.48
Pm: 0.4174 0.9174 0.4393  6 Pm 3.13-3.48
Pm: 0.4960 0.5040 0.8805  6 Pm 3.30-3.43
Pm: 0.4960 0.9960 0.1195  6 Pm 3.30-3.43
Pm: 0.5040 0.0040 0.8805  6 Pm 3.30-3.43
Pm: 0.5040 0.4960 0.1195  6 Pm 3.30-3.43
Pm: 0.5826 0.0826 0.5607  6 Pm 3.13-3.48
Pm: 0.5826 0.4174 0.4393  6 Pm 3.13-3.48
Pm: 0.7500 0.7500 0.2171  5 Pm 3.08-3.43, 4 Sm 3.44
Pm: 0.7500 0.7500 0.3371  1 Pm 3.08
Pm: 0.7500 0.7500 0.6629  1 Pm 3.08
Pm: 0.7500 0.7500 0.7829  5 Pm 3.08-3.43, 4 Sm 3.44
Pm: 0.9174 0.0826 0.4393  6 Pm 3.13-3.48
Pm: 0.9174 0.4174 0.5607  6 Pm 3.13-3.48
Pm: 0.9960 0.0040 0.1195  6 Pm 3.30-3.43
Pm: 0.9960 0.4960 0.8805  6 Pm 3.30-3.43
Sm: 0.2500 0.7500 0.2548  4 Pm 3.44
Sm: 0.2500 0.7500 0.7452  4 Pm 3.44
Sm: 0.7500 0.2500 0.2548  4 Pm 3.44
Sm: 0.7500 0.2500 0.7452  4 Pm 3.44

---

2.
CaPm12Sm7: optimized geometry, GGA-PBE.

DOS(E_F), states/eV/cell: 23.566
Energy relative to the elements, eV/atom: 0.59
DFT total energy, eV/cell: -80.3

abc: 10.0450 10.0450 10.0450
angles: 109.47 109.47 109.47
Last column: nearest neighbours and their distance in Å.
Atoms (fractional coordinates):
Ca: 0.0000 0.0000 0.0000  12 Pm 4.17
Pm: 0.0000 0.2542 0.7458  2 Sm 2.90
Pm: 0.0000 0.7458 0.2542  2 Sm 2.90
Pm: 0.2542 0.0000 0.7458  2 Sm 2.90
Pm: 0.2542 0.2542 0.5085  2 Sm 2.90
Pm: 0.2542 0.5085 0.2542  2 Sm 2.90
Pm: 0.2542 0.7458 0.0000  2 Sm 2.90
Pm: 0.4915 0.7458 0.7458  2 Sm 2.90
Pm: 0.5085 0.2542 0.2542  2 Sm 2.90
Pm: 0.7458 0.0000 0.2542  2 Sm 2.90
Pm: 0.7458 0.2542 0.0000  2 Sm 2.90
Pm: 0.7458 0.4915 0.7458  2 Sm 2.90
Pm: 0.7458 0.7458 0.4915  2 Sm 2.90
Sm: 0.0000 0.0000 0.5000  6 Pm 2.90
Sm: 0.0000 0.5000 0.0000  6 Pm 2.90
Sm: 0.0000 0.5000 0.5000  12 Pm 4.03-4.10
Sm: 0.5000 0.0000 0.0000  6 Pm 2.90
Sm: 0.5000 0.0000 0.5000  12 Pm 4.03-4.10
Sm: 0.5000 0.5000 0.0000  12 Pm 4.03-4.10
Sm: 0.5000 0.5000 0.5000  6 Pm 2.90

---

3.
Ca2Pm2Sm: optimized geometry, GGA-PBE.

Distance to the lowest polymorph of the same formula, kJ per mole of atoms: 33.1
DOS(E_F), states/eV/cell: 14.960
Energy relative to the elements, eV/atom: 0.38
DFT total energy, eV/cell: -32.7

abc: 4.6769 4.6769 17.3346
angles: 90.00 90.00 90.00
Last column: nearest neighbours and their distance in Å.
Atoms (fractional coordinates):
Ca: 0.0000 0.5000 0.2500  4 Ca 3.31, 4 Pm 3.65
Ca: 0.0000 0.5000 0.7500  4 Ca 3.31, 4 Pm 3.65
Ca: 0.5000 0.0000 0.2500  4 Ca 3.31, 4 Pm 3.65
Ca: 0.5000 0.0000 0.7500  4 Ca 3.31, 4 Pm 3.65
Pm: 0.0000 0.0000 0.0885  1 Pm 3.07
Pm: 0.0000 0.0000 0.9115  1 Pm 3.07
Pm: 0.5000 0.5000 0.4115  1 Pm 3.07
Pm: 0.5000 0.5000 0.5885  1 Pm 3.07
Sm: 0.0000 0.0000 0.5000  8 Pm 3.65
Sm: 0.5000 0.5000 0.0000  8 Pm 3.65

---

4.
CaPm3Sm7: optimized geometry, GGA-PBE.

Distance to the lowest polymorph of the same formula, kJ per mole of atoms: 1.7
DOS(E_F), states/eV/cell: 14.866
Energy relative to the elements, eV/atom: 0.22
DFT total energy, eV/cell: -46.8

abc: 7.8306 7.8306 6.5646
angles: 93.61 93.61 81.44
Last column: nearest neighbours and their distance in Å.
Atoms (fractional coordinates):
Ca: 0.0000 0.0000 0.0000  4 Sm 3.28-3.55
Pm: 0.3286 0.6714 0.5000  7 Sm 3.36-3.61, 3 Pm 3.50-3.72
Pm: 0.5000 0.5000 0.0000  6 Sm 3.51-3.74, 4 Pm 3.72
Pm: 0.6714 0.3286 0.5000  7 Sm 3.36-3.61, 3 Pm 3.50-3.72
Sm: 0.0000 0.0000 0.5000  2 Ca 3.28, 2 Pm 3.36, 2 Sm 3.54
Sm: 0.0735 0.4168 0.7558  6 Sm 3.37-3.73, 3 Pm 3.58-3.74
Sm: 0.2653 0.2653 0.2919  5 Sm 3.37-3.54, 3 Pm 3.47-3.51, 1 Ca 3.55
Sm: 0.4168 0.0735 0.7558  6 Sm 3.37-3.73, 3 Pm 3.58-3.74
Sm: 0.5832 0.9265 0.2442  6 Sm 3.37-3.73, 3 Pm 3.58-3.74
Sm: 0.7346 0.7346 0.7081  5 Sm 3.37-3.54, 3 Pm 3.47-3.51, 1 Ca 3.55
Sm: 0.9265 0.5832 0.2442  6 Sm 3.37-3.73, 3 Pm 3.58-3.74

---

5.
CaPmSm6: optimized geometry, GGA-PBE.

Distance to the lowest polymorph of the same formula, kJ per mole of atoms: 0.4
DOS(E_F), states/eV/cell: 11.973
Energy relative to the elements, eV/atom: 0.05
DFT total energy, eV/cell: -34.7

abc: 5.1758 5.1758 10.3071
angles: 90.00 90.00 90.00
Last column: nearest neighbours and their distance in Å.
Atoms (fractional coordinates):
Ca: 0.0000 0.0000 0.0000  12 Sm 3.66-3.70
Pm: 0.0000 0.0000 0.5000  12 Sm 3.61-3.66
Sm: 0.0000 0.5000 0.2562  2 Pm 3.61, 8 Sm 3.61-3.70, 2 Ca 3.70
Sm: 0.0000 0.5000 0.7438  2 Pm 3.61, 8 Sm 3.61-3.70, 2 Ca 3.70
Sm: 0.5000 0.0000 0.2562  2 Pm 3.61, 8 Sm 3.61-3.70, 2 Ca 3.70
Sm: 0.5000 0.0000 0.7438  2 Pm 3.61, 8 Sm 3.61-3.70, 2 Ca 3.70
Sm: 0.5000 0.5000 0.0000  4 Ca 3.66, 8 Sm 3.70
Sm: 0.5000 0.5000 0.5000  8 Sm 3.61, 4 Pm 3.66

---

6.
CaPmSm2: optimized geometry, GGA-PBE.

Distance to the lowest polymorph of the same formula, kJ per mole of atoms: 9.8
DOS(E_F), states/eV/cell: 31.757
Energy relative to the elements, eV/atom: 0.15
DFT total energy, eV/cell: -62.4

abc: 8.2726 8.2726 8.2726
angles: 90.00 90.00 90.00
Last column: nearest neighbours and their distance in Å.
Atoms (fractional coordinates):
Ca: 0.0000 0.0000 0.0000  8 Sm 3.58
Ca: 0.0000 0.5000 0.5000  8 Sm 3.58
Ca: 0.5000 0.0000 0.5000  8 Sm 3.58
Ca: 0.5000 0.5000 0.0000  8 Sm 3.58
Pm: 0.0000 0.0000 0.5000  8 Sm 3.58
Pm: 0.0000 0.5000 0.0000  8 Sm 3.58
Pm: 0.5000 0.0000 0.0000  8 Sm 3.58
Pm: 0.5000 0.5000 0.5000  8 Sm 3.58
Sm: 0.2500 0.2500 0.2500  4 Ca 3.58, 4 Pm 3.58
Sm: 0.2500 0.2500 0.7500  4 Ca 3.58, 4 Pm 3.58
Sm: 0.2500 0.7500 0.2500  4 Ca 3.58, 4 Pm 3.58
Sm: 0.2500 0.7500 0.7500  4 Ca 3.58, 4 Pm 3.58
Sm: 0.7500 0.2500 0.2500  4 Ca 3.58, 4 Pm 3.58
Sm: 0.7500 0.2500 0.7500  4 Ca 3.58, 4 Pm 3.58
Sm: 0.7500 0.7500 0.2500  4 Ca 3.58, 4 Pm 3.58
Sm: 0.7500 0.7500 0.7500  4 Pm 3.58, 4 Ca 3.58

---

Question: DOS(E_F) of number 3 (Ca2Pm2Sm)?
Answer: 14.960 states/eV/cell